No. 1
First-principles (GGA-PBE) data for crystalline PmYZr2 at its relaxed geometry, as listed in Alexandria via LeMat-Bulk.

Values from the calculation:
The value obtained for the relative energy among the computed polymorphs is 4.4 meV per atom. The calculated volume comes out at 109 Å³/cell. As for the space group: R-3m (166). Its formation energy from the elements is 0.17 eV/atom.

abc: 3.370 3.370 11.227
angles: 81.37 81.37 60.00
Fractional coordinates of all 4 atoms:
1 Y 0.500 0.500 0.500
2 Zr 0.250 0.250 0.251
3 Zr 0.750 0.750 0.749
4 Pm 0.000 0.000 0.000

No. 2
First-principles (GGA-PBE) data for crystalline PaMnH at its relaxed geometry, as listed in Alexandria via LeMat-Bulk.

Values from the calculation:
The value obtained for the relative energy among the computed polymorphs is 0.0 meV per atom. The calculated volume comes out at 39 Å³/cell. As for the space group: P3m1 (156).

abc: 3.188 3.188 4.430
angles: 90.00 90.00 120.00
Fractional coordinates of all 3 atoms:
1 Pa 0.667 0.333 0.363
2 Mn 0.000 0.000 0.867
3 H 0.333 0.667 0.770

No. 3
First-principles (GGA-PBE) data for crystalline PuTh3C4 at its relaxed geometry, as listed in Alexandria via LeMat-Bulk.

Values from the calculation:
The calculated volume comes out at 145 Å³/cell. As for the space group: Cmmm (65). Its formation energy from the elements is -0.14 eV/atom.

abc: 3.741 6.413 6.413
angles: 109.07 90.00 90.00
Fractional coordinates of all 8 atoms:
1 C 0.000 0.761 0.761
2 C 0.000 0.239 0.239
3 C 0.500 0.758 0.242
4 C 0.500 0.242 0.758
5 Th 0.000 0.500 0.000
6 Th 0.500 0.500 0.500
7 Th 0.000 0.000 0.500
8 Pu 0.500 0.000 0.000

No. 4
First-principles (GGA-PBE) data for crystalline DyHoBr6 at its relaxed geometry, as listed in Alexandria via LeMat-Bulk.

Values from the calculation:
The value obtained for the relative energy among the computed polymorphs is 19.6 meV per atom. The calculated volume comes out at 275 Å³/cell. As for the space group: R-3 (148). The formation energy (no corrections) comes out at -1.818 eV per atom.

abc: 7.058 7.058 7.575
angles: 62.22 62.22 60.00
Fractional coordinates of all 8 atoms:
1 Br 0.096 0.406 0.750
2 Br 0.904 0.594 0.250
3 Br 0.251 0.904 0.251
4 Br 0.749 0.096 0.749
5 Br 0.594 0.251 0.251
6 Br 0.406 0.749 0.749
7 Dy 0.000 0.000 0.000
8 Ho 0.500 0.500 0.500

No. 5
First-principles (GGA-PBE) data for crystalline Rb4ICl3 at its relaxed geometry, as listed in Alexandria via LeMat-Bulk.

Values from the calculation:
The calculated volume comes out at 333 Å³/cell. As for the space group: Fmmm (69). The formation energy (no corrections) comes out at -1.806 eV per atom.

abc: 6.954 6.954 8.453
angles: 114.27 114.27 90.04
Fractional coordinates of all 8 atoms:
1 Rb 0.265 0.265 0.530
2 Rb 0.735 0.735 0.470
3 Rb 0.500 0.000 0.000
4 Rb 0.000 0.500 0.000
5 Cl 0.500 0.500 0.000
6 Cl 0.250 0.750 0.500
7 Cl 0.750 0.250 0.500
8 I 0.000 0.000 0.000

No. 6
First-principles (GGA-PBE) data for crystalline Li3PbCl at its relaxed geometry, as listed in Alexandria via LeMat-Bulk.

Values from the calculation:
The value obtained for the relative energy among the computed polymorphs is 0.0 meV per atom. The calculated volume comes out at 104 Å³/cell. As for the space group: Pm-3m (221). The formation energy (no corrections) comes out at -0.693 eV per atom.

abc: 4.707 4.707 4.707
angles: 90.00 90.00 90.00
Fractional coordinates of all 5 atoms:
1 Li 0.500 0.000 0.000
2 Li 0.000 0.000 0.500
3 Li 0.000 0.500 0.000
4 Pb 0.500 0.500 0.500
5 Cl 0.000 0.000 0.000

No. 7
First-principles (GGA-PBE) data for crystalline Er6PdSe4 at its relaxed geometry, as listed in Alexandria via LeMat-Bulk.

Values from the calculation:
The calculated volume comes out at 536 Å³/cell. As for the space group: Cmcm (63). The formation energy (no corrections) comes out at -1.422 eV per atom.

abc: 3.935 6.888 20.642
angles: 90.00 90.00 106.60
Fractional coordinates of all 22 atoms:
1 Pd 0.331 0.663 0.750
2 Pd 0.669 0.337 0.250
3 Se 0.857 0.714 0.537
4 Se 0.581 0.162 0.875
5 Se 0.581 0.162 0.625
6 Se 0.857 0.714 0.963
7 Se 0.143 0.286 0.037
8 Se 0.419 0.838 0.125
9 Se 0.419 0.838 0.375
10 Se 0.143 0.286 0.463
11 Er 0.228 0.456 0.596
12 Er 0.064 0.127 0.332
13 Er 0.675 0.351 0.750
14 Er 0.064 0.127 0.168
15 Er 0.772 0.544 0.096
16 Er 0.772 0.544 0.404
17 Er 0.500 0.000 0.000
18 Er 0.500 0.000 0.500
19 Er 0.936 0.873 0.668
20 Er 0.325 0.649 0.250
21 Er 0.228 0.456 0.904
22 Er 0.936 0.873 0.832

No. 8
First-principles (GGA-PBE) data for crystalline K3PmU3S8 at its relaxed geometry, as listed in Alexandria via LeMat-Bulk.

Values from the calculation:
The calculated volume comes out at 426 Å³/cell. As for the space group: R-3m (166). The formation energy (no corrections) comes out at -1.520 eV per atom.

abc: 8.103 8.103 8.828
angles: 117.32 90.00 120.00
Fractional coordinates of all 15 atoms:
1 S 0.266 0.532 0.299
2 S 0.763 0.526 0.300
3 S 0.734 0.468 0.701
4 S 0.237 0.474 0.700
5 S 0.275 0.038 0.300
6 S 0.763 0.038 0.300
7 S 0.237 0.962 0.700
8 S 0.725 0.962 0.700
9 U 0.000 0.500 0.500
10 U 0.500 0.500 0.500
11 U 0.500 0.000 0.500
12 K 0.000 0.000 0.000
13 K 0.500 0.500 0.000
14 K 0.000 0.500 0.000
15 Pm 0.000 0.000 0.500

Number 1: total moment 0.0 μB per formula unit. Number 2: total moment 1.2 μB per formula unit. Number 3: total moment 4.2 μB per formula unit. Number 4: total moment 0.0 μB per formula unit. Number 5: total moment 0.0 μB per formula unit. Number 6: total moment 0.0 μB per formula unit. Number 7: total moment 0.0 μB per formula unit. Number 8: total moment 8.0 μB per formula unit.